Density functional theory data (PBE-GGA) for an optimized crystal structure of ZnCoCl.

a b c (Å): 2.9764 2.9764 11.5162
angles (deg): 90.00 90.00 90.00
Closest atoms and distances in Å follow each position.
Space group I4mm (No. 107)
Symmetry-distinct sites (fractional):
Zn (0.0000, 0.0000, 0.0000)  4 Co 2.55
Co (0.0000, 0.0000, 0.3747)  4 Zn 2.55, 4 Cl 2.56
Cl (0.0000, 0.0000, 0.7481)  4 Co 2.56

Calculated values
- excess energy over the best structure of this formula in the dataset (meV per atom) = 126
- size of the total moment (μB/f.u.) = 1.80
- N(E_F) (states/eV/cell) = 3.2
- density (kg/m3) = 5202
- energy relative to the elements, uncorrected (eV/atom) = 0.15